# LaNi3Pt, optimized geometry, DFT PBE-GGA
# Energy of formation ... 6.321 eV/f.u.
# Uncorrected energy ... -4.40 eV/atom
# Excess energy over the best structure of this formula in the dataset ... 1.037 eV per atom
# V ... 19.23 A^3/atom
# Fermi-level density of states ... 2.83 states/eV per cell
# Theoretical density ... 8.81 g cm⁻³
data_LaNi3Pt
_chemical_formula_sum 'La1 Ni3 Pt1'
_cell_length_a 4.5815
_cell_length_b 4.5815
_cell_length_c 4.5815
_cell_angle_alpha 90.00
_cell_angle_beta 90.00
_cell_angle_gamma 90.00
_space_group_name_H-M_alt 'P m -3 m'
_space_group_IT_number 221
_space_group_name_Hall '-P 4 2 3'
loop_
_atom_site_label
_atom_site_fract_x
_atom_site_fract_y
_atom_site_fract_z
La1 0.0000 0.0000 0.0000
Ni1 0.0000 0.0000 0.5000
Pt1 0.5000 0.5000 0.5000